DFT (PBE) results for a relaxed structure of MgBTe2N.

a = 5.6483 Å, b = 5.6483 Å, c = 3.8124 Å
α = 90.00°, β = 90.00°, γ = 90.00°
With the nearest neighbours (Å) after each atom.
Positions (direct):
B 0.5000 0.5000 0.5000  8 Te 3.41, 2 B 3.81
Te 0.0000 0.5000 0.0000  2 Mg 2.82
Te 0.5000 0.0000 0.0000  2 Mg 2.82
N 0.0000 0.0000 0.5000  2 Mg 1.91
Mg 0.0000 0.0000 0.0000  2 N 1.91

Results
**Crystal system**: tetragonal
**Energy relative to the lowest polymorph listed for this composition**: 1.446 eV/atom
**Electronic total energy**: -3.082 eV/atom
**E_form (uncorrected)**: 144.2 kJ per mole of atoms